1.
5
Lattice="4.8966 0.0000 0.0000 0.0000 4.8966 0.0000 0.0000 0.0000 5.0735" Properties=species:S:1:pos:R:3 comment="SrCdRe2P (SCAN, PBEsol geometry)" e_tot_ev_per_cell=-189.0 sg="No. 123" formation_energy_mev_per_atom=3251 pbc="T T T"
Sr 0.0000 0.0000 0.0000
Cd 2.4483 2.4483 2.5367
Re 0.0000 2.4483 0.0000
Re 2.4483 0.0000 0.0000
P 0.0000 0.0000 2.5367

=====

2.
8
Lattice="8.0684 0.0000 0.0000 0.0000 3.0375 0.0000 -1.4421 0.0000 5.7703" Properties=species:S:1:pos:R:3 comment="CdP2Rh (SCAN, PBEsol geometry)" e_tot_ev_per_cell=-171.5 sg="No. 8" formation_energy_mev_per_atom=-189 pbc="T T T"
Cd 0.0000 0.0000 0.0000
Cd 4.0342 1.5188 0.0000
P 0.5248 1.5188 3.3840
P 1.7821 1.5188 1.5852
P 4.5590 0.0000 3.3840
P 5.8163 0.0000 1.5852
Rh 2.2604 0.0000 3.4637
Rh 6.2946 1.5188 3.4637

=====

3.
16
Lattice="6.2768 0.0000 0.0000 0.0000 6.2768 0.0000 0.0000 0.0000 6.2768" Properties=species:S:1:pos:R:3 comment="CdP2Rh (SCAN, PBEsol geometry)" e_tot_ev_per_cell=-331.0 sg="No. 216" formation_energy_mev_per_atom=556 pbc="T T T"
Cd 0.0000 0.0000 0.0000
Cd 0.0000 3.1384 3.1384
Cd 3.1384 0.0000 3.1384
Cd 3.1384 3.1384 0.0000
P 0.0000 0.0000 3.1384
P 0.0000 3.1384 0.0000
P 1.5692 1.5692 4.7076
P 1.5692 4.7076 1.5692
P 3.1384 0.0000 0.0000
P 3.1384 3.1384 3.1384
P 4.7076 1.5692 1.5692
P 4.7076 4.7076 4.7076
Rh 1.5692 1.5692 1.5692
Rh 1.5692 4.7076 4.7076
Rh 4.7076 1.5692 4.7076
Rh 4.7076 4.7076 1.5692

=====

4.
12
Lattice="6.0416 0.0000 0.0000 0.0000 6.0416 0.0000 0.0000 0.0000 6.0416" Properties=species:S:1:pos:R:3 comment="CdPRh (SCAN, PBEsol geometry)" e_tot_ev_per_cell=-290.8 sg="No. 216" formation_energy_mev_per_atom=628 pbc="T T T"
Cd 0.0000 0.0000 0.0000
Cd 0.0000 3.0208 3.0208
Cd 3.0208 0.0000 3.0208
Cd 3.0208 3.0208 0.0000
P 1.5104 1.5104 1.5104
P 1.5104 4.5312 4.5312
P 4.5312 1.5104 4.5312
P 4.5312 4.5312 1.5104
Rh 1.5104 1.5104 4.5312
Rh 1.5104 4.5312 1.5104
Rh 4.5312 1.5104 1.5104
Rh 4.5312 4.5312 4.5312

=====

5.
3
Lattice="3.1036 0.0000 0.0000 -1.5518 2.6878 0.0000 0.0000 0.0000 6.0018" Properties=species:S:1:pos:R:3 comment="CdPRh (SCAN, PBEsol geometry)" e_tot_ev_per_cell=-75.6 sg="No. 156" formation_energy_mev_per_atom=-337 pbc="T T T"
Cd 0.0000 0.0000 0.0000
P 0.0000 1.7919 3.5884
Rh 1.5518 0.8959 2.2001

=====

6.
5
Lattice="4.8324 0.0000 0.0000 0.0000 4.8324 0.0000 0.0000 0.0000 4.2554" Properties=species:S:1:pos:R:3 comment="CdPRhS2 (SCAN, PBEsol geometry)" raw_formation_energy_ev_per_atom=0.31 e_tot_ev_per_cell=-92.3 sg="No. 123" pbc="T T T"
Cd 0.0000 0.0000 0.0000
P 2.4162 2.4162 0.0000
Rh 2.4162 2.4162 2.1277
S 0.0000 2.4162 2.1277
S 2.4162 0.0000 2.1277